(1)
Below is a relaxed structure of CeHo3Sn3, with properties calculated at the PBE level.

The structure in CIF format:
```
data_CeHo3Sn3
_symmetry_space_group_name_H-M 'P 63/m'
_symmetry_Int_Tables_number 176
_symmetry_space_group_name_Hall '-P 6c'
_cell_length_a 9.1638
_cell_length_b 9.1638
_cell_length_c 5.3965
_cell_angle_alpha 90.00
_cell_angle_beta 90.00
_cell_angle_gamma 120.00
loop_
_atom_site_label
_atom_site_fract_x
_atom_site_fract_y
_atom_site_fract_z
_atom_site_occupancy
Ce1 0.3333 0.6667 0.2500 1
Ho1 0.0059 0.2402 0.2500 1
Sn1 0.0737 0.4478 0.7500 1
```

Computed properties:
**Crystal system**: hexagonal
**Uncorrected energy**: -5.04 eV/atom
**Total magnetic moment**: 1.2 μB/cell
**D(E_F)**: 20.613 states/eV/cell
**Formation energy**: -0.512 eV/atom


(2)
Below is a relaxed structure of Ce5HoSn5, with properties calculated at the PBE level.

The structure in CIF format:
```
data_Ce5HoSn5
_symmetry_space_group_name_H-M 'C 1 2/m 1'
_symmetry_Int_Tables_number 12
_cell_length_a 14.224
_cell_length_b 6.307
_cell_length_c 8.727
_cell_angle_alpha 90.00
_cell_angle_beta 107.93
_cell_angle_gamma 90.00
loop_
_symmetry_equiv_pos_as_xyz
'x,y,z'
'-x,-y,-z'
'-x,y,-z'
'x,-y,z'
'x+1/2,y+1/2,z'
'-x+1/2,-y+1/2,-z'
'-x+1/2,y+1/2,-z'
'x+1/2,-y+1/2,z'
loop_
_atom_site_label
_atom_site_fract_x
_atom_site_fract_y
_atom_site_fract_z
_atom_site_occupancy
Ce1 0.000 0.000 0.000 1
Ce2 0.165 0.500 0.330 1
Ce3 0.166 0.500 0.834 1
Ho1 0.000 0.000 0.500 1
Sn1 0.000 0.500 0.500 1
Sn2 0.165 0.000 0.833 1
Sn3 0.167 0.000 0.333 1
```

Computed properties:
**Crystal system**: monoclinic
**Uncorrected energy**: -5.27 eV/atom
**Total magnetic moment**: 7.1 μB/cell
**D(E_F)**: 56.125 states/eV/cell
**Formation energy**: -0.333 eV/atom


(3)
Below is a relaxed structure of Ce3HoSn5, with properties calculated at the PBE level.

The structure in CIF format:
```
data_Ce3HoSn5
_symmetry_space_group_name_H-M 'P 63/m c m'
_symmetry_Int_Tables_number 193
_symmetry_space_group_name_Hall '-P 6c 2'
_cell_length_a 9.4225
_cell_length_b 9.4225
_cell_length_c 6.4616
_cell_angle_alpha 90.00
_cell_angle_beta 90.00
_cell_angle_gamma 120.00
loop_
_atom_site_label
_atom_site_fract_x
_atom_site_fract_y
_atom_site_fract_z
_atom_site_occupancy
Ce1 0.0000 0.3828 0.2500 1
Ho1 0.0000 0.0000 0.0000 1
Sn1 0.0000 0.2828 0.7500 1
Sn2 0.3333 0.6667 0.0000 1
```

Computed properties:
**Crystal system**: hexagonal
**Uncorrected energy**: -5.33 eV/atom
**Total magnetic moment**: 2.0 μB/cell
**D(E_F)**: 29.379 states/eV/cell
**Formation energy**: -0.620 eV/atom


(4)
Below is a relaxed structure of Ce2HoSn3, with properties calculated at the PBE level.

The structure in CIF format:
```
data_Ce2HoSn3
_symmetry_space_group_name_H-M 'I m m m'
_symmetry_Int_Tables_number 71
_symmetry_space_group_name_Hall '-I 2 2'
_cell_length_a 4.570
_cell_length_b 6.298
_cell_length_c 12.985
_cell_angle_alpha 90.00
_cell_angle_beta 90.00
_cell_angle_gamma 90.00
loop_
_atom_site_label
_atom_site_fract_x
_atom_site_fract_y
_atom_site_fract_z
_atom_site_occupancy
Ce1 0.000 0.000 0.167 1
Ho1 0.000 0.000 0.500 1
Sn1 0.000 0.500 0.166 1
Sn2 0.000 0.500 0.500 1
```

Computed properties:
**Crystal system**: orthorhombic
**Uncorrected energy**: -5.21 eV/atom
**Excess energy over the best structure of this formula in the dataset**: 0.72 eV/f.u.
**Total magnetic moment**: 0.0 μB/cell
**D(E_F)**: 14.733 states/eV/cell
**Formation energy**: -0.470 eV/atom